The following is a PBE calculation of LiTaRh after structural relaxation, from Alexandria.

Calculated values
- electronic total energy (eV/atom) = -6.600
- size of the total moment (μB/cell) = 0.0
- DFT formation energy (eV/atom) = 0.44
- energy above the lowest structure with this stoichiometry (meV/atom) = 570

Unit cell a=4.2210 b=4.2210 c=4.2210 alpha=60.00 beta=60.00 gamma=60.00
Last column: nearest neighbours and their distance in Å.
Positions (direct):
Li1 0.0000 0.0000 0.0000  4 Ta 2.58
Ta1 0.2500 0.2500 0.2500  4 Li 2.58, 4 Rh 2.58
Rh1 0.5000 0.5000 0.5000  4 Ta 2.58